(1)
Density functional theory data (PBE-GGA) for a relaxed structure of Ca2Pu2Sb2N.

```
Ca2Pu2Sb2N
1.0
-2.347 2.347 8.345
2.347 -2.347 8.345
2.347 2.347 -8.345
Ca Pu Sb N
2 2 2 1
Direct
0.168 0.168 0.000
0.832 0.832 0.000
0.000 0.500 0.500
0.500 0.000 0.500
0.361 0.361 0.000
0.639 0.639 0.000
0.000 0.000 0.000
```

Its size of the total moment is 1.572 μB per atom. Its space-group type is I4/mmm, No. 139.

(2)
Density functional theory data (PBE-GGA) for a relaxed structure of CaPuSbN.

```
CaPuSbN
1.0
4.566 0.000 0.000
0.000 4.566 0.000
0.000 0.000 8.861
Ca Pu Sb N
2 2 2 2
Direct
0.250 0.750 0.000
0.750 0.250 0.000
0.250 0.250 0.327
0.750 0.750 0.673
0.250 0.250 0.683
0.750 0.750 0.317
0.250 0.250 0.103
0.750 0.750 0.897
```

Its size of the total moment is 0.997 μB per atom. Its space-group type is P4/nmm, No. 129.

(3)
Density functional theory data (PBE-GGA) for a relaxed structure of Ca3Pu3ScN8.

```
Ca3Pu3ScN8
1.0
3.398 1.962 5.643
-3.398 1.962 5.643
0.000 -3.924 5.643
Ca Pu Sc N
3 3 1 8
Direct
0.000 0.500 0.500
0.500 0.000 0.500
0.500 0.500 0.000
0.000 0.000 0.500
0.000 0.500 0.000
0.500 0.000 0.000
0.500 0.500 0.500
0.231 0.731 0.731
0.241 0.241 0.241
0.269 0.269 0.769
0.269 0.769 0.269
0.731 0.231 0.731
0.731 0.731 0.231
0.759 0.759 0.759
0.769 0.269 0.269
```

Its size of the total moment is 0.600 μB per atom. Its space-group type is R-3m, No. 166.

(4)
Density functional theory data (PBE-GGA) for a relaxed structure of Ca4Pu3ScN8.

```
Ca4Pu3ScN8
1.0
3.442 1.987 5.646
-3.442 1.987 5.646
0.000 -3.975 5.646
Ca Pu Sc N
4 3 1 8
Direct
0.000 0.000 0.000
0.000 0.500 0.500
0.500 0.000 0.500
0.500 0.500 0.000
0.000 0.000 0.500
0.000 0.500 0.000
0.500 0.000 0.000
0.500 0.500 0.500
0.234 0.739 0.739
0.239 0.239 0.239
0.261 0.261 0.766
0.261 0.766 0.261
0.739 0.234 0.739
0.739 0.739 0.234
0.761 0.761 0.761
0.766 0.261 0.261
```

Its size of the total moment is 0.688 μB per atom. Its space-group type is R-3m, No. 166.

(5)
Density functional theory data (PBE-GGA) for a relaxed structure of Ca3Pu2ScN6.

```
Ca3Pu2ScN6
1.0
2.961 -5.130 0.000
2.961 5.130 0.000
-1.969 0.000 5.636
Ca Pu Sc N
3 2 1 6
Direct
0.000 0.000 0.000
0.336 0.664 0.000
0.664 0.336 0.000
0.167 0.833 0.500
0.833 0.167 0.500
0.500 0.500 0.500
0.092 0.429 0.287
0.235 0.235 0.715
0.429 0.092 0.287
0.571 0.908 0.713
0.765 0.765 0.285
0.908 0.571 0.713
```

Its size of the total moment is 0.583 μB per atom. Its space-group type is C2/m, No. 12.

(6)
Density functional theory data (PBE-GGA) for a relaxed structure of Ca2PuSiN4.

```
Ca2PuSiN4
1.0
5.484 0.000 0.000
0.000 3.589 0.000
-1.199 0.000 5.592
Ca Pu Si N
2 1 1 4
Direct
0.000 0.000 0.000
0.500 0.500 0.000
0.000 0.500 0.500
0.500 0.000 0.500
0.222 0.500 0.258
0.302 0.000 0.700
0.698 0.000 0.300
0.778 0.500 0.742
```

Its size of the total moment is 0.498 μB per atom. Its space-group type is P2/m, No. 10.

(7)
Density functional theory data (PBE-GGA) for a relaxed structure of Ca3Pu3SiN8.

```
Ca3Pu3SiN8
1.0
3.332 1.924 5.661
-3.332 1.924 5.661
0.000 -3.847 5.661
Ca Pu Si N
3 3 1 8
Direct
0.000 0.500 0.500
0.500 0.000 0.500
0.500 0.500 0.000
0.000 0.000 0.500
0.000 0.500 0.000
0.500 0.000 0.000
0.500 0.500 0.500
0.241 0.241 0.241
0.262 0.714 0.714
0.286 0.286 0.738
0.286 0.738 0.286
0.714 0.262 0.714
0.714 0.714 0.262
0.738 0.286 0.286
0.759 0.759 0.759
```

Its size of the total moment is 0.667 μB per atom. Its space-group type is R-3m, No. 166.

(8)
Density functional theory data (PBE-GGA) for a relaxed structure of CaSm2PuN4.

```
CaSm2PuN4
1.0
6.064 0.000 0.000
0.000 3.563 0.000
-1.924 0.000 5.751
Ca Sm Pu N
1 2 1 4
Direct
0.000 0.000 0.000
0.000 0.500 0.500
0.500 0.000 0.500
0.500 0.500 0.000
0.260 0.000 0.756
0.277 0.500 0.235
0.723 0.500 0.765
0.740 0.000 0.244
```

Its size of the total moment is 0.493 μB per atom. Its space-group type is P2/m, No. 10.

(9)
Density functional theory data (PBE-GGA) for a relaxed structure of Ca3Sm2PuN6.

```
Ca3Sm2PuN6
1.0
3.052 -5.292 0.000
3.052 5.292 0.000
-2.047 0.000 5.722
Ca Sm Pu N
3 2 1 6
Direct
0.000 0.000 0.000
0.336 0.664 0.000
0.664 0.336 0.000
0.168 0.832 0.500
0.832 0.168 0.500
0.500 0.500 0.500
0.122 0.425 0.276
0.275 0.275 0.713
0.425 0.122 0.276
0.575 0.878 0.724
0.725 0.725 0.287
0.878 0.575 0.724
```

Its size of the total moment is 0.167 μB per atom. Its space-group type is C2/m, No. 12.

(10)
Density functional theory data (PBE-GGA) for a relaxed structure of CaSmPuN3.

```
CaSmPuN3
1.0
6.100 0.000 0.000
0.000 3.536 0.000
-0.019 0.000 8.642
Ca Sm Pu N
2 2 2 6
Direct
0.083 0.250 0.162
0.917 0.750 0.838
0.413 0.250 0.839
0.587 0.750 0.161
0.249 0.750 0.498
0.751 0.250 0.502
0.087 0.250 0.636
0.265 0.750 0.995
0.420 0.250 0.360
0.580 0.750 0.640
0.735 0.250 0.005
0.913 0.750 0.364
```

Its size of the total moment is 0.667 μB per atom. Its space-group type is P2_1/m, No. 11.

(11)
Density functional theory data (PBE-GGA) for a relaxed structure of Ca2Sm3PuN6.

```
Ca2Sm3PuN6
1.0
3.065 -5.315 0.000
3.065 5.315 0.000
-2.029 0.000 5.734
Ca Sm Pu N
2 3 1 6
Direct
0.167 0.833 0.000
0.833 0.167 0.000
0.000 0.000 0.500
0.331 0.669 0.500
0.669 0.331 0.500
0.500 0.500 0.000
0.111 0.417 0.752
0.284 0.284 0.233
0.417 0.111 0.752
0.583 0.889 0.248
0.716 0.716 0.767
0.889 0.583 0.248
```

Its size of the total moment is 0.250 μB per atom. Its space-group type is C2/m, No. 12.

(12)
Density functional theory data (PBE-GGA) for a relaxed structure of Ca4Pu3SnN8.

```
Ca4Pu3SnN8
1.0
3.464 2.000 5.677
-3.464 2.000 5.677
0.000 -4.000 5.677
Ca Pu Sn N
4 3 1 8
Direct
0.000 0.000 0.000
0.000 0.500 0.500
0.500 0.000 0.500
0.500 0.500 0.000
0.000 0.000 0.500
0.000 0.500 0.000
0.500 0.000 0.000
0.500 0.500 0.500
0.236 0.742 0.742
0.239 0.239 0.239
0.258 0.258 0.764
0.258 0.764 0.258
0.742 0.236 0.742
0.742 0.742 0.236
0.761 0.761 0.761
0.764 0.258 0.258
```

Its size of the total moment is 0.747 μB per atom. Its space-group type is R-3m, No. 166.

Calculated E in order - -8.038, -8.117, -9.230, -8.999, -8.858, -7.926, -8.952, -8.672, -7.855, -8.947, -8.147, -8.560 eV per atom